First-principles (PBE) data for Pu2ThI6 after structural relaxation, as listed in Alexandria.

As for the volume: 41.72 Å³ per atom. The mass density comes out at 6552 kg/m3. The value obtained for the total DFT energy (no corrections) is -6.06 eV per atom.

It has space group P-6m2 (No. 187), with a = 4.1452 Å, b = 4.1452 Å, c = 25.2335 Å, α = 90.00°, β = 90.00° and γ = 120.00°. The asymmetric unit holds Pu at (0.0000, 0.0000, 0.1726), Th at (0.6667, 0.3333, 0.5000), I at (0.0000, 0.0000, 0.4142), I at (0.6667, 0.3333, 0.0903) and I at (0.6667, 0.3333, 0.2552).